1.
A plane-wave DFT calculation with GGA-PBE was carried out for a geometry-optimized LaIrPdO6 structure.

It has space group P-31c (No. 163), with a = 5.3015 Å, b = 5.3015 Å, c = 10.2892 Å, α = 90.00°, β = 90.00° and γ = 120.00°. The inequivalent atoms are La at (0.0000, 0.0000, 0.0000), Ir at (0.3333, 0.6667, 0.2500), Pd at (0.3333, 0.6667, 0.7500) and O at (0.0087, 0.3692, 0.1442).

As for the crystal system: trigonal. As for the energy: -6.7795 eV/atom. The mass density is 7.08 g cm⁻³. The calculation puts the total magnetization at 4.052 Bohr magnetons per cell. The value obtained for the uncorrected formation energy is -1365 meV per atom.

=====

2.
A plane-wave DFT calculation with GGA-PBE was carried out for a geometry-optimized LaPmIrO6 structure.

It has space group P-31c (No. 163), with a = 5.6663 Å, b = 5.6663 Å, c = 9.9865 Å, α = 90.00°, β = 90.00° and γ = 120.00°. The inequivalent atoms are La at (0.0000, 0.0000, 0.0000), Pm at (0.3333, 0.6667, 0.2500), Ir at (0.3333, 0.6667, 0.7500) and O at (0.0505, 0.3792, 0.6384).

As for the crystal system: trigonal. As for the energy: -7.5256 eV/atom. The mass density is 6.84 g cm⁻³. The calculation puts the total magnetization at 6.042 Bohr magnetons per cell. The value obtained for the uncorrected formation energy is -2160 meV per atom.

=====

3.
A plane-wave DFT calculation with GGA-PBE was carried out for a geometry-optimized La2PrIrO8 structure.

It has space group P2/m (No. 10), with a = 5.2724 Å, b = 7.1092 Å, c = 5.2797 Å, α = 90.00°, β = 90.19° and γ = 90.00°. The inequivalent atoms are La at (0.0000, 0.2467, 0.0000), Pr at (0.5000, 0.5000, 0.5000), Ir at (0.5000, 0.0000, 0.5000), O at (0.1872, 0.5000, 0.1878), O at (0.2455, 0.0000, 0.2470) and O at (0.3234, 0.2023, 0.6769).

As for the crystal system: monoclinic. As for the energy: -7.5268 eV/atom. The mass density is 6.20 g cm⁻³. The calculation puts the total magnetization at 1.931 Bohr magnetons per cell. The value obtained for the uncorrected formation energy is -2263 meV per atom.

=====

4.
A plane-wave DFT calculation with GGA-PBE was carried out for a geometry-optimized RbLaIrO6 structure.

It has space group P312 (No. 149), with a = 5.8401 Å, b = 5.8401 Å, c = 6.0540 Å, α = 90.00°, β = 90.00° and γ = 120.00°. The inequivalent atoms are Rb at (0.0000, 0.0000, 0.0000), La at (0.3333, 0.6667, 0.5000), Ir at (0.6667, 0.3333, 0.5000) and O at (0.4074, 0.0592, 0.6789).

As for the crystal system: trigonal. As for the energy: -6.4084 eV/atom. The mass density is 4.76 g cm⁻³. The calculation puts the total magnetization at 0.818 Bohr magnetons per cell. The value obtained for the uncorrected formation energy is -1463 meV per atom.

=====

5.
A plane-wave DFT calculation with GGA-PBE was carried out for a geometry-optimized Rb2LaIrO6 structure.

It has space group Fm-3m (No. 225), with a = 8.6503 Å, b = 8.6503 Å, c = 8.6503 Å, α = 90.00°, β = 90.00° and γ = 90.00°. The inequivalent atoms are Rb at (0.2500, 0.2500, 0.2500), La at (0.0000, 0.0000, 0.0000), Ir at (0.0000, 0.0000, 0.5000) and O at (0.0000, 0.0000, 0.2773).

As for the crystal system: cubic. As for the energy: -6.2059 eV/atom. The mass density is 6.14 g cm⁻³. The calculation puts the total magnetization at 5.445 Bohr magnetons per cell. The value obtained for the uncorrected formation energy is -1659 meV per atom.

=====

6.
A plane-wave DFT calculation with GGA-PBE was carried out for a geometry-optimized Rb2LaIr3O12 structure.

It has space group R-3m (No. 166, hexagonal axes), with a = 7.3670 Å, b = 7.3670 Å, c = 18.9252 Å, α = 90.00°, β = 90.00° and γ = 120.00°. The inequivalent atoms are Rb at (0.0000, 0.0000, 0.1111), La at (0.0000, 0.0000, 0.5000), Ir at (0.0000, 0.5000, 0.0000), O at (0.0169, 0.5085, 0.0996) and O at (0.0687, 0.5344, 0.3381).

As for the crystal system: trigonal. As for the energy: -6.3347 eV/atom. The mass density is 6.04 g cm⁻³. The calculation puts the total magnetization at 13.746 Bohr magnetons per cell. The value obtained for the uncorrected formation energy is -1171 meV per atom.

=====

7.
A plane-wave DFT calculation with GGA-PBE was carried out for a geometry-optimized LaIrRh2O8 structure.

It has space group P2/m (No. 10), with a = 4.7428 Å, b = 6.6198 Å, c = 4.7601 Å, α = 90.00°, β = 91.22° and γ = 90.00°. The inequivalent atoms are La at (0.0000, 0.0000, 0.0000), Ir at (0.0000, 0.5000, 0.0000), Rh at (0.5000, 0.2597, 0.5000), O at (0.2076, 0.2857, 0.1997), O at (0.2971, 0.5000, 0.6954) and O at (0.3270, 0.0000, 0.6629).

As for the crystal system: monoclinic. As for the energy: -6.8508 eV/atom. The mass density is 7.39 g cm⁻³. The calculation puts the total magnetization at 0.010 Bohr magnetons per cell. The value obtained for the uncorrected formation energy is -1171 meV per atom.

=====

8.
A plane-wave DFT calculation with GGA-PBE was carried out for a geometry-optimized La2IrRhO6 structure.

It has space group C2/m (No. 12), with a = 10.7598 Å, b = 5.4892 Å, c = 4.8471 Å, α = 90.00°, β = 108.22° and γ = 90.00°. The inequivalent atoms are La at (0.2307, 0.0000, 0.2157), Ir at (0.0000, 0.5000, 0.0000), Rh at (0.0000, 0.0000, 0.5000), O at (0.0792, 0.2481, 0.8081) and O at (0.1923, 0.5000, 0.2765).

As for the crystal system: monoclinic. As for the energy: -7.5786 eV/atom. The mass density is 8.17 g cm⁻³. The calculation puts the total magnetization at 0.004 Bohr magnetons per cell. The value obtained for the uncorrected formation energy is -1997 meV per atom.

=====

energy of number 3 (La2PrIrO8)?
-7.5268 eV/atom